Entry 1:
Computed, not measured: a relaxed Ac2MgCu4Ge3 crystal at the PBE level of DFT.

Properties
**Calculated volume**: 199.82 Å³/cell
**Energy of formation**: -436 meV per atom
**Crystal system**: tetragonal
**Raw total energy**: -4.441 eV per atom

Structure (CIF):
```
data_Ac2MgCu4Ge3
_chemical_formula_sum 'Ac2 Mg1 Cu4 Ge3'
_cell_length_a 4.353
_cell_length_b 4.353
_cell_length_c 10.546
_cell_angle_alpha 90.00
_cell_angle_beta 90.00
_cell_angle_gamma 90.00
_space_group_name_H-M_alt 'P 1'
_space_group_IT_number 1
loop_
_space_group_symop_operation_xyz
'x,y,z'
loop_
_atom_site_label
_atom_site_type_symbol
_atom_site_fract_x
_atom_site_fract_y
_atom_site_fract_z
_atom_site_occupancy
Ac1 Ac 0.000 0.500 0.234 1
Ac2 Ac 0.500 0.000 0.766 1
Mg1 Mg 0.000 0.000 0.500 1
Cu1 Cu 0.000 0.000 0.000 1
Cu2 Cu 0.000 0.500 0.638 1
Cu3 Cu 0.500 0.000 0.362 1
Cu4 Cu 0.500 0.500 0.000 1
Ge1 Ge 0.000 0.500 0.875 1
Ge2 Ge 0.500 0.000 0.125 1
Ge3 Ge 0.500 0.500 0.500 1
```

=====

Entry 2:
Computed, not measured: a relaxed AcCd2Au9 crystal at the PBE level of DFT.

Properties
**Calculated volume**: 255.43 Å³/cell
**Energy of formation**: -285 meV per atom
**Crystal system**: trigonal
**Raw total energy**: -3.238 eV per atom

Structure (CIF):
```
data_AcCd2Au9
_chemical_formula_sum 'Ac1 Cd2 Au9'
_cell_length_a 9.599
_cell_length_b 9.599
_cell_length_c 9.599
_cell_angle_alpha 34.67
_cell_angle_beta 34.67
_cell_angle_gamma 34.67
_space_group_name_H-M_alt 'P 1'
_space_group_IT_number 1
loop_
_space_group_symop_operation_xyz
'x,y,z'
loop_
_atom_site_label
_atom_site_type_symbol
_atom_site_fract_x
_atom_site_fract_y
_atom_site_fract_z
_atom_site_occupancy
Ac1 Ac 0.000 0.000 0.000 1
Cd1 Cd 0.146 0.146 0.146 1
Cd2 Cd 0.854 0.854 0.854 1
Au1 Au 0.080 0.589 0.589 1
Au2 Au 0.333 0.333 0.333 1
Au3 Au 0.411 0.411 0.920 1
Au4 Au 0.411 0.920 0.411 1
Au5 Au 0.500 0.500 0.500 1
Au6 Au 0.589 0.080 0.589 1
Au7 Au 0.589 0.589 0.080 1
Au8 Au 0.667 0.667 0.667 1
Au9 Au 0.920 0.411 0.411 1
```

=====

Entry 3:
Computed, not measured: a relaxed Ga2Tc2Hg crystal at the PBE level of DFT.

Properties
**Calculated volume**: 160.37 Å³/cell
**Energy of formation**: 236 meV per atom
**Crystal system**: tetragonal
**Raw total energy**: -5.182 eV per atom
**Relative energy among the computed polymorphs**: 104 meV/atom

Structure (CIF):
```
data_Ga2Tc2Hg
_chemical_formula_sum 'Ga4 Tc4 Hg2'
_cell_length_a 7.048
_cell_length_b 7.048
_cell_length_c 3.229
_cell_angle_alpha 90.00
_cell_angle_beta 90.00
_cell_angle_gamma 90.00
_space_group_name_H-M_alt 'P 1'
_space_group_IT_number 1
loop_
_space_group_symop_operation_xyz
'x,y,z'
loop_
_atom_site_label
_atom_site_type_symbol
_atom_site_fract_x
_atom_site_fract_y
_atom_site_fract_z
_atom_site_occupancy
Ga1 Ga 0.134 0.366 0.000 1
Ga2 Ga 0.366 0.866 0.000 1
Ga3 Ga 0.634 0.134 0.000 1
Ga4 Ga 0.866 0.634 0.000 1
Tc1 Tc 0.159 0.659 0.500 1
Tc2 Tc 0.341 0.159 0.500 1
Tc3 Tc 0.659 0.841 0.500 1
Tc4 Tc 0.841 0.341 0.500 1
Hg1 Hg 0.000 0.000 0.000 1
Hg2 Hg 0.500 0.500 0.000 1
```

=====

Entry 4:
Computed, not measured: a relaxed YSbTe2Pt crystal at the PBE level of DFT.

Properties
**Calculated volume**: 187.09 Å³/cell
**Crystal system**: tetragonal
**Raw total energy**: -3.899 eV per atom
**Formation energy without anion corrections**: 0.68 eV/atom
**Relative energy among the computed polymorphs**: 839 meV/atom

Structure (CIF):
```
data_YSbTe2Pt
_chemical_formula_sum 'Y1 Sb1 Te2 Pt1'
_cell_length_a 5.680
_cell_length_b 5.680
_cell_length_c 5.798
_cell_angle_alpha 90.00
_cell_angle_beta 90.00
_cell_angle_gamma 90.00
_space_group_name_H-M_alt 'P 1'
_space_group_IT_number 1
loop_
_space_group_symop_operation_xyz
'x,y,z'
loop_
_atom_site_label
_atom_site_type_symbol
_atom_site_fract_x
_atom_site_fract_y
_atom_site_fract_z
_atom_site_occupancy
Y1 Y 0.000 0.000 0.000 1
Sb1 Sb 0.000 0.000 0.500 1
Te1 Te 0.000 0.500 0.000 1
Te2 Te 0.500 0.000 0.000 1
Pt1 Pt 0.500 0.500 0.500 1
```

=====

Q: What is the calculated volume in the third record?
A: 160.37 Å³/cell

=====

Q: What is the calculated volume in the fourth record?
A: 187.09 Å³/cell